(1)
VASP calculation (GGA-PBE) on a geometry-optimized Li2Al2Ga structure.

As for the crystal system: tetragonal. The relative energy among the computed polymorphs is 197 meV per atom. As for the total DFT energy (no corrections): -2.844 eV per atom. The formation energy is 24 meV per atom.

The structure belongs to space group P4/mbm (No. 127); the cell edges are 7.963, 7.963 and 2.799 Å and the angles 90.00°, 90.00° and 90.00°. The distinct sites, in fractional coordinates, are Li at (0.179, 0.321, 0.000), Al at (0.118, 0.618, 0.500) and Ga at (0.000, 0.000, 0.000).

(2)
VASP calculation (GGA-PBE) on a geometry-optimized Li3Al2Ga9 structure.

As for the crystal system: orthorhombic. As for the total DFT energy (no corrections): -3.019 eV per atom. The formation energy is -129 meV per atom.

The structure belongs to space group Immm (No. 71); the cell edges are 4.312, 9.575 and 12.368 Å and the angles 90.00°, 90.00° and 90.00°. The distinct sites, in fractional coordinates, are Li at (0.000, 0.000, 0.000), Li at (0.000, 0.000, 0.269), Al at (0.000, 0.162, 0.500), Ga at (0.000, 0.292, 0.156), Ga at (0.000, 0.369, 0.361) and Ga at (0.000, 0.500, 0.000).

(3)
VASP calculation (GGA-PBE) on a geometry-optimized Li2Al3Ga5 structure.

As for the crystal system: orthorhombic. As for the total DFT energy (no corrections): -3.095 eV per atom. The formation energy is -76 meV per atom.

The structure belongs to space group Ibam (No. 72); the cell edges are 11.474, 11.514 and 5.877 Å and the angles 90.00°, 90.00° and 90.00°. The distinct sites, in fractional coordinates, are Li at (0.230, 0.125, 0.000), Al at (0.000, 0.000, 0.250), Al at (0.141, 0.376, 0.000), Ga at (0.000, 0.248, 0.250), Ga at (0.000, 0.500, 0.250) and Ga at (0.143, 0.125, 0.500).

(4)
VASP calculation (GGA-PBE) on a geometry-optimized Li2Al15Ga2 structure.

As for the crystal system: trigonal. As for the total DFT energy (no corrections): -3.392 eV per atom. The formation energy is 83 meV per atom.

The structure belongs to space group R-3m (No. 166, hexagonal axes); the cell edges are 9.4605, 9.4605 and 13.6045 Å and the angles 90.00°, 90.00° and 120.00°. The distinct sites, in fractional coordinates, are Li at (0.0000, 0.0000, 0.1074), Al at (0.0000, 0.2942, 0.0000), Al at (0.0000, 0.5000, 0.5000), Al at (0.0057, 0.5028, 0.1453) and Ga at (0.0000, 0.0000, 0.3820).

(5)
VASP calculation (GGA-PBE) on a geometry-optimized Li3Al2Ga2 structure.

As for the crystal system: monoclinic. As for the total DFT energy (no corrections): -2.945 eV per atom. The formation energy is -191 meV per atom.

The structure belongs to space group C2/m (No. 12); the cell edges are 8.065, 4.161 and 6.834 Å and the angles 90.00°, 100.44° and 90.00°. The distinct sites, in fractional coordinates, are Li at (0.000, 0.000, 0.000), Li at (0.141, 0.000, 0.426), Al at (0.226, 0.500, 0.150) and Ga at (0.069, 0.500, 0.719).

(6)
VASP calculation (GGA-PBE) on a geometry-optimized Li2AlGa8 structure.

As for the crystal system: tetragonal. As for the total DFT energy (no corrections): -2.997 eV per atom. The formation energy is -108 meV per atom.

The structure belongs to space group P4/mmm (No. 123); the cell edges are 4.422, 4.422 and 10.162 Å and the angles 90.00°, 90.00° and 90.00°. The distinct sites, in fractional coordinates, are Li at (0.000, 0.000, 0.178), Al at (0.000, 0.000, 0.500), Ga at (0.000, 0.500, 0.000), Ga at (0.000, 0.500, 0.354) and Ga at (0.500, 0.500, 0.184).

(7)
VASP calculation (GGA-PBE) on a geometry-optimized Li6AlGa2 structure.

As for the crystal system: hexagonal. The relative energy among the computed polymorphs is 0 meV per atom. As for the total DFT energy (no corrections): -2.599 eV per atom. The formation energy is -234 meV per atom.

The structure belongs to space group P6/mmm (No. 191); the cell edges are 7.8076, 7.8076 and 2.6638 Å and the angles 90.00°, 90.00° and 120.00°. The distinct sites, in fractional coordinates, are Li at (0.0000, 0.3352, 0.0000), Al at (0.0000, 0.0000, 0.5000) and Ga at (0.3333, 0.6667, 0.5000).

(8)
VASP calculation (GGA-PBE) on a geometry-optimized LiAl6Ga12 structure.

As for the crystal system: trigonal. As for the total DFT energy (no corrections): -3.160 eV per atom. The formation energy is 35 meV per atom.

The structure belongs to space group R-3 (No. 148, hexagonal axes); the cell edges are 9.9645, 9.9645 and 12.5468 Å and the angles 90.00°, 90.00° and 120.00°. The distinct sites, in fractional coordinates, are Li at (0.0000, 0.0000, 0.0000), Al at (0.0004, 0.4574, 0.6849), Ga at (0.0452, 0.8691, 0.8284) and Ga at (0.0857, 0.8459, 0.4236).

(9)
VASP calculation (GGA-PBE) on a geometry-optimized Li3Al4Ga4 structure.

As for the crystal system: orthorhombic. The relative energy among the computed polymorphs is 27 meV per atom. As for the total DFT energy (no corrections): -3.079 eV per atom. The formation energy is -96 meV per atom.

The structure belongs to space group Immm (No. 71); the cell edges are 4.090, 7.164 and 13.972 Å and the angles 90.00°, 90.00° and 90.00°. The distinct sites, in fractional coordinates, are Li at (0.000, 0.000, 0.000), Li at (0.000, 0.500, 0.113), Al at (0.000, 0.304, 0.331), Ga at (0.000, 0.000, 0.228) and Ga at (0.000, 0.178, 0.500).

(10)
VASP calculation (GGA-PBE) on a geometry-optimized LiAlGa3 structure.

As for the crystal system: cubic. The relative energy among the computed polymorphs is 375 meV per atom. As for the total DFT energy (no corrections): -2.624 eV per atom. The formation energy is 323 meV per atom.

The structure belongs to space group Pm-3m (No. 221); the cell edges are 4.624, 4.624 and 4.624 Å and the angles 90.00°, 90.00° and 90.00°. The distinct sites, in fractional coordinates, are Li at (0.000, 0.000, 0.000), Al at (0.500, 0.500, 0.500) and Ga at (0.000, 0.000, 0.500).